(1)
VASP calculation (GGA-PBEsol) on a relaxed Cu2Si3 crystal.

As for the symmetry: R-3m. As for the formation energy without anion corrections: 59 kJ/mol of formula units.

a b c (Å): 2.888 2.888 27.293
angles (deg): 90.00 90.00 120.00
Fractional positions:
Cu 0.000 0.000 0.099
Cu 0.000 0.000 0.901
Cu 0.333 0.667 0.568
Cu 0.333 0.667 0.765
Cu 0.667 0.333 0.235
Cu 0.667 0.333 0.432
Si 0.000 0.000 0.299
Si 0.000 0.000 0.500
Si 0.000 0.000 0.701
Si 0.333 0.667 0.167
Si 0.333 0.667 0.367
Si 0.333 0.667 0.966
Si 0.667 0.333 0.034
Si 0.667 0.333 0.633
Si 0.667 0.333 0.833


(2)
VASP calculation (GGA-PBEsol) on a relaxed CsReP2O crystal.

As for the symmetry: P4/mmm. As for the formation energy without anion corrections: 1155 kJ/mol of formula units.

a b c (Å): 5.226 5.226 4.103
angles (deg): 90.00 90.00 90.00
Fractional positions:
Cs 0.000 0.000 0.000
Re 0.500 0.500 0.500
P 0.000 0.500 0.000
P 0.500 0.000 0.000
O 0.000 0.000 0.500


(3)
VASP calculation (GGA-PBEsol) on a relaxed LaCu2Re crystal.

The value obtained for the energy of formation from the pure elements is 0.523 eV/atom. As for the symmetry: Imm2. The calculation puts the energy above the most stable polymorph in this dataset at 141.8 meV per atom.

a b c (Å): 2.798 4.906 9.590
angles (deg): 90.00 90.00 90.00
Fractional positions:
La 0.000 0.000 0.000
La 0.500 0.500 0.500
Cu 0.000 0.000 0.516
Cu 0.000 0.500 0.228
Cu 0.500 0.000 0.728
Cu 0.500 0.500 0.016
Re 0.000 0.500 0.782
Re 0.500 0.000 0.282